# ZrCrAsBr2

A geometry-optimized ZrCrAsBr2 structure (PBE, Alexandria via LeMat-Bulk).

```
ZrCrAsBr2
1.0
-2.127 -1.298 4.650
2.949 -4.373 0.128
3.870 2.684 2.519
Cr As Br Zr
1 1 2 1
Direct
0.500 0.500 0.500
0.000 0.000 0.500
0.500 0.000 0.000
0.000 0.500 0.000
0.000 0.000 0.000
```

The density of states at the Fermi level comes out at 3.951 states/eV/cell. Its space group is P4/mmm, No. 123. For the distance to the lowest polymorph of the same formula, the calculation gives 0 meV/atom. Its electronic total energy is -26.13 eV for the cell shown. For the formation energy from raw total energies, the calculation gives 0.01 eV/atom.